The following is a PBE calculation of a relaxed structure of LiInS2, from Alexandria.

Structure (POSCAR):
```
LiInS2
1.0
3.316 -1.915 0.000
0.000 3.829 0.000
0.000 0.000 6.583
S In Li
2 1 1
Direct
0.333 0.667 0.792
0.667 0.333 0.243
0.000 0.000 0.996
0.333 0.667 0.424
```

Values from the calculation:
Final energy: -0.301 Ry per atom
D(E_F): 0.00 states/eV per atom
Density: 3.69 g cm⁻³
Formation energy (no corrections): -0.87 eV per atom